Record 1
The following is a PBE calculation of crystalline Ba3Ta4 at its relaxed geometry, from Alexandria.

a = 16.543 Å, b = 16.543 Å, c = 16.543 Å
α = 167.34°, β = 167.34°, γ = 17.94°
Atoms (fractional coordinates):
Ba: 0.000 0.000 0.000
Ba: 0.688 0.688 0.000
Ba: 0.312 0.312 0.000
Ta: 0.887 0.887 0.000
Ta: 0.113 0.113 0.000
Ta: 0.582 0.582 0.000
Ta: 0.418 0.418 0.000

Total magnetization, μB per cell: 0.0
Energy of formation, meV per atom: 687

=====

Record 2
The following is a PBE calculation of crystalline BaTa3 at its relaxed geometry, from Alexandria.

a = 4.826 Å, b = 4.826 Å, c = 7.278 Å
α = 87.85°, β = 87.85°, γ = 38.07°
Atoms (fractional coordinates):
Ba: 0.000 0.000 0.000
Ta: 0.500 0.500 0.500
Ta: 0.237 0.237 0.343
Ta: 0.763 0.763 0.657

Energy above the lowest structure with this stoichiometry, meV/atom: 204
Total magnetization, μB per cell: 0.0
Energy of formation, meV per atom: 809

=====

Record 3
The following is a PBE calculation of crystalline Ba2Ta at its relaxed geometry, from Alexandria.

a = 9.839 Å, b = 9.839 Å, c = 4.403 Å
α = 90.00°, β = 90.00°, γ = 120.00°
Atoms (fractional coordinates):
Ba: 0.268 0.000 0.000
Ba: 0.000 0.268 0.000
Ba: 0.732 0.732 0.000
Ba: 0.606 0.000 0.500
Ba: 0.000 0.606 0.500
Ba: 0.394 0.394 0.500
Ta: 0.333 0.667 0.000
Ta: 0.667 0.333 0.000
Ta: 0.000 0.000 0.500

Energy above the lowest structure with this stoichiometry, meV/atom: 597
Total magnetization, μB per cell: 10.5
Energy of formation, meV per atom: 1234

=====

Record 4
The following is a PBE calculation of crystalline Ba2Ta3 at its relaxed geometry, from Alexandria.

a = 4.965 Å, b = 4.965 Å, c = 6.549 Å
α = 90.00°, β = 90.00°, γ = 120.00°
Atoms (fractional coordinates):
Ba: 0.667 0.333 0.158
Ba: 0.333 0.667 0.842
Ta: 0.000 0.000 0.000
Ta: 0.667 0.333 0.591
Ta: 0.333 0.667 0.409

Energy above the lowest structure with this stoichiometry, meV/atom: 1202
Total magnetization, μB per cell: 0.0
Energy of formation, meV per atom: 2256

=====

Record 5
The following is a PBE calculation of crystalline BaTa3 at its relaxed geometry, from Alexandria.

a = 3.232 Å, b = 3.232 Å, c = 10.362 Å
α = 90.00°, β = 90.00°, γ = 120.00°
Atoms (fractional coordinates):
Ba: 0.000 0.000 0.000
Ta: 0.000 0.000 0.500
Ta: 0.667 0.333 0.300
Ta: 0.667 0.333 0.700

Energy above the lowest structure with this stoichiometry, meV/atom: 259
Total magnetization, μB per cell: 0.0
Energy of formation, meV per atom: 865

=====

Record 6
The following is a PBE calculation of crystalline BaTa3 at its relaxed geometry, from Alexandria.

a = 5.884 Å, b = 5.884 Å, c = 5.884 Å
α = 146.29°, β = 128.73°, γ = 62.77°
Atoms (fractional coordinates):
Ba: 0.500 0.000 0.500
Ta: 0.233 0.233 0.000
Ta: 0.767 0.767 0.000
Ta: 0.000 0.500 0.500

Energy above the lowest structure with this stoichiometry, meV/atom: 543
Total magnetization, μB per cell: 0.0
Energy of formation, meV per atom: 1148

=====

Record 7
The following is a PBE calculation of crystalline BaTa3 at its relaxed geometry, from Alexandria.

a = 5.944 Å, b = 5.944 Å, c = 2.880 Å
α = 90.00°, β = 90.00°, γ = 119.95°
Atoms (fractional coordinates):
Ba: 0.000 0.000 0.000
Ta: 0.000 0.500 0.500
Ta: 0.500 0.000 0.500
Ta: 0.500 0.500 0.000

Energy above the lowest structure with this stoichiometry, meV/atom: 565
Total magnetization, μB per cell: 0.0
Energy of formation, meV per atom: 1171

=====

Record 8
The following is a PBE calculation of crystalline BaTa3 at its relaxed geometry, from Alexandria.

a = 10.501 Å, b = 10.501 Å, c = 10.501 Å
α = 17.72°, β = 17.72°, γ = 17.72°
Atoms (fractional coordinates):
Ba: 0.000 0.000 0.000
Ta: 0.767 0.767 0.767
Ta: 0.500 0.500 0.500
Ta: 0.233 0.233 0.233

Energy above the lowest structure with this stoichiometry, meV/atom: 250
Total magnetization, μB per cell: 0.0
Energy of formation, meV per atom: 855